6
Lattice="2.977 1.719 4.861 -2.977 1.719 4.861 0.000 -3.437 4.861" Properties=species:S:1:pos:R:3 comment="LuF2 (GGA-PBE, relaxed)" energy_ev_per_cell=-29.411 magnetic_moment_mub_per_atom=0.00 pbc="T T T"
F 0.000 0.000 5.468
F 1.488 0.859 7.899
F -1.488 0.859 7.899
F 0.000 -1.719 7.899
Lu 0.000 0.000 3.646
Lu 0.000 0.000 7.291